Entry 1:
A relaxed Sr2Ga7Ag crystal. Source: the Open Quantum Materials Database, functional PBE-GGA.

Computed properties:
Total energy   -3.144 eV/atom

a b c (Å): 4.437 4.437 10.992
angles (deg): 90.00 90.00 90.00
Element x y z (fractional)
Sr (0.000, 0.500, 0.248)
Sr (0.500, 0.000, 0.752)
Ga (0.000, 0.000, 0.000)
Ga (0.000, 0.500, 0.634)
Ga (0.000, 0.500, 0.866)
Ga (0.500, 0.000, 0.134)
Ga (0.500, 0.000, 0.366)
Ga (0.500, 0.500, 0.000)
Ga (0.500, 0.500, 0.500)
Ag (0.000, 0.000, 0.500)

***

Entry 2:
A relaxed UCoIr crystal. Source: the Open Quantum Materials Database, functional PBE-GGA.

Computed properties:
Total energy   -9.221 eV/atom
ΔE_f   -0.1349 eV/atom
Total magnetic moment   0.139 μB/atom

a b c (Å): 4.225 4.225 4.225
angles (deg): 60.00 60.00 60.00
Element x y z (fractional)
U (0.000, 0.000, 0.000)
Co (0.750, 0.750, 0.750)
Ir (0.500, 0.500, 0.500)

***

Entry 3:
A relaxed ReB crystal. Source: the Open Quantum Materials Database, functional PBE-GGA.

Computed properties:
Total energy   -9.327 eV/atom
Total magnetic moment   0.001 μB/atom

a b c (Å): 3.125 3.125 3.125
angles (deg): 60.00 60.00 60.00
Element x y z (fractional)
Re (0.000, 0.000, 0.000)
B (0.500, 0.500, 0.500)

***

Entry 4:
A relaxed Pr2AlOs3 crystal. Source: the Open Quantum Materials Database, functional PBE-GGA.

Computed properties:
Total energy   -8.009 eV/atom
Total magnetic moment   0.007 μB/atom

a b c (Å): 5.488 5.488 8.877
angles (deg): 90.00 90.00 120.00
Element x y z (fractional)
Pr (0.333, 0.667, 0.069)
Pr (0.333, 0.667, 0.431)
Pr (0.667, 0.333, 0.569)
Pr (0.667, 0.333, 0.931)
Al (0.000, 0.000, 0.000)
Al (0.000, 0.000, 0.500)
Os (0.170, 0.340, 0.750)
Os (0.170, 0.830, 0.750)
Os (0.340, 0.170, 0.250)
Os (0.660, 0.830, 0.750)
Os (0.830, 0.170, 0.250)
Os (0.830, 0.660, 0.250)

***

Entry 5:
A relaxed TaCdFeSn crystal. Source: the Open Quantum Materials Database, functional PBE-GGA.

Computed properties:
Total energy   -5.770 eV/atom
Total magnetic moment   0.226 μB/atom

a b c (Å): 4.634 4.634 4.634
angles (deg): 60.00 60.00 60.00
Element x y z (fractional)
Ta (0.000, 0.000, 0.000)
Cd (0.250, 0.250, 0.250)
Fe (0.750, 0.750, 0.750)
Sn (0.500, 0.500, 0.500)

***

Entry 6:
A relaxed Gd2Y2O5 crystal. Source: the Open Quantum Materials Database, functional PBE-GGA.

Computed properties:
Total energy   -8.089 eV/atom
Total magnetic moment   0.150 μB/atom

a b c (Å): 3.902 3.902 9.533
angles (deg): 90.00 90.00 90.00
Element x y z (fractional)
Gd (0.000, 0.000, 0.000)
Gd (0.000, 0.000, 0.500)
Y (0.500, 0.500, 0.243)
Y (0.500, 0.500, 0.757)
O (0.000, 0.500, 0.146)
O (0.000, 0.500, 0.854)
O (0.500, 0.000, 0.146)
O (0.500, 0.000, 0.854)
O (0.500, 0.500, 0.500)

***

Entry 7:
A relaxed Y2ZrTc2 crystal. Source: the Open Quantum Materials Database, functional PBE-GGA.

Computed properties:
Total energy   -8.468 eV/atom
ΔE_f   -0.0286 eV/atom
Total magnetic moment   0.001 μB/atom

a b c (Å): 6.902 6.902 4.713
angles (deg): 90.00 90.00 90.00
Element x y z (fractional)
Y (0.175, 0.325, 0.000)
Y (0.325, 0.825, 0.000)
Y (0.675, 0.175, 0.000)
Y (0.825, 0.675, 0.000)
Zr (0.000, 0.000, 0.500)
Zr (0.500, 0.500, 0.500)
Tc (0.123, 0.623, 0.500)
Tc (0.377, 0.123, 0.500)
Tc (0.623, 0.877, 0.500)
Tc (0.877, 0.377, 0.500)

***

Entry 8:
A relaxed Cd12Ge17B8O58 crystal. Source: the Open Quantum Materials Database, functional PBE-GGA.

Computed properties:
Total energy   -6.209 eV/atom

a b c (Å): 14.946 14.946 4.709
angles (deg): 90.00 90.00 90.00
Element x y z (fractional)
Cd (0.009, 0.672, 0.016)
Cd (0.106, 0.147, 0.011)
Cd (0.147, 0.894, 0.989)
Cd (0.248, 0.362, 0.002)
Cd (0.328, 0.009, 0.984)
Cd (0.362, 0.752, 0.998)
Cd (0.638, 0.248, 0.998)
Cd (0.672, 0.991, 0.984)
Cd (0.752, 0.638, 0.002)
Cd (0.853, 0.106, 0.989)
Cd (0.894, 0.853, 0.011)
Cd (0.991, 0.328, 0.016)
Ge (0.000, 0.000, 0.500)
Ge (0.104, 0.487, 0.498)
Ge (0.192, 0.717, 0.499)
Ge (0.217, 0.577, 0.001)
Ge (0.283, 0.192, 0.501)
Ge (0.356, 0.538, 0.507)
Ge (0.423, 0.217, 0.999)
Ge (0.462, 0.356, 0.493)
Ge (0.487, 0.896, 0.502)
Ge (0.513, 0.104, 0.502)
Ge (0.538, 0.644, 0.493)
Ge (0.577, 0.783, 0.999)
Ge (0.644, 0.462, 0.507)
Ge (0.717, 0.808, 0.501)
Ge (0.783, 0.423, 0.001)
Ge (0.808, 0.283, 0.499)
Ge (0.896, 0.513, 0.498)
B (0.028, 0.815, 0.541)
B (0.118, 0.293, 0.527)
B (0.185, 0.028, 0.459)
B (0.293, 0.882, 0.473)
B (0.707, 0.118, 0.473)
B (0.815, 0.972, 0.459)
B (0.882, 0.707, 0.527)
B (0.972, 0.185, 0.541)
O (0.000, 0.500, 0.312)
O (0.022, 0.905, 0.705)
O (0.035, 0.821, 0.244)
O (0.050, 0.234, 0.650)
O (0.095, 0.022, 0.295)
O (0.101, 0.382, 0.672)
O (0.107, 0.772, 0.690)
O (0.111, 0.568, 0.770)
O (0.123, 0.294, 0.227)
O (0.142, 0.650, 0.234)
O (0.179, 0.035, 0.756)
O (0.188, 0.480, 0.235)
O (0.205, 0.262, 0.668)
O (0.228, 0.107, 0.310)
O (0.234, 0.950, 0.350)
O (0.259, 0.670, 0.768)
O (0.262, 0.795, 0.332)
O (0.281, 0.495, 0.770)
O (0.294, 0.877, 0.773)
O (0.314, 0.608, 0.236)
O (0.330, 0.259, 0.232)
O (0.350, 0.142, 0.766)
O (0.382, 0.899, 0.328)
O (0.392, 0.314, 0.764)
O (0.401, 0.443, 0.325)
O (0.432, 0.111, 0.230)
O (0.443, 0.599, 0.675)
O (0.480, 0.812, 0.765)
O (0.495, 0.719, 0.230)
O (0.500, 0.000, 0.688)
O (0.505, 0.281, 0.230)
O (0.520, 0.188, 0.765)
O (0.557, 0.401, 0.675)
O (0.568, 0.889, 0.230)
O (0.599, 0.557, 0.325)
O (0.608, 0.686, 0.764)
O (0.618, 0.101, 0.328)
O (0.650, 0.858, 0.766)
O (0.670, 0.741, 0.232)
O (0.686, 0.392, 0.236)
O (0.706, 0.123, 0.773)
O (0.719, 0.505, 0.770)
O (0.738, 0.205, 0.332)
O (0.741, 0.330, 0.768)
O (0.766, 0.050, 0.350)
O (0.772, 0.893, 0.310)
O (0.795, 0.738, 0.668)
O (0.812, 0.520, 0.235)
O (0.821, 0.965, 0.756)
O (0.858, 0.350, 0.234)
O (0.877, 0.706, 0.227)
O (0.889, 0.432, 0.770)
O (0.893, 0.228, 0.690)
O (0.899, 0.618, 0.672)
O (0.905, 0.978, 0.295)
O (0.950, 0.766, 0.650)
O (0.965, 0.179, 0.244)
O (0.978, 0.095, 0.705)